Density functional theory data (GGA-PBE) for a relaxed Ga3SeS crystal.

Values from the calculation:
Symmetry: Pm-3m (221)
Energy above the most stable polymorph in this dataset (meV per atom): 211
Raw formation energy (meV/atom): 393.3

Cell lengths 5.2479, 5.2479, 5.2479 Å; angles 90.00, 90.00, 90.00 degrees
Last column: nearest neighbours and their distance in Å.
Element x y z (fractional)
S 0.5000 0.5000 0.5000  12 Ga 3.71
Ga 0.0000 0.5000 0.0000  2 Se 2.62
Ga 0.0000 0.0000 0.5000  2 Se 2.62
Ga 0.5000 0.0000 0.0000  2 Se 2.62
Se 0.0000 0.0000 0.0000  6 Ga 2.62

=====

Density functional theory data (GGA-PBE) for a relaxed Na3Be2SeO6 crystal.

Values from the calculation:
Symmetry: P-3m1 (164)
Raw formation energy (meV/atom): -1526.6

Cell lengths 5.2833, 5.2833, 6.0519 Å; angles 90.00, 90.00, 120.00 degrees
Last column: nearest neighbours and their distance in Å.
Element x y z (fractional)
Na 0.3333 0.6667 0.7570  6 O 2.66, 1 Be 2.68
Na 0.6667 0.3333 0.2430  6 O 2.66, 1 Be 2.68
Na 0.0000 0.0000 0.0000  6 O 2.36
Be 0.6667 0.3333 0.6857  3 O 1.53
Be 0.3333 0.6667 0.3143  3 O 1.53
Se 0.0000 0.0000 0.5000  6 O 1.95
O 0.6680 0.8340 0.2982  1 Be 1.53
O 0.1660 0.3320 0.2982  1 Be 1.53
O 0.1660 0.8340 0.2982  1 Be 1.53
O 0.8340 0.6680 0.7018  1 Be 1.53
O 0.3320 0.1660 0.7018  1 Be 1.53
O 0.8340 0.1660 0.7018  1 Be 1.53

=====

Density functional theory data (GGA-PBE) for a relaxed ZnAgP2Cl crystal.

Values from the calculation:
Symmetry: P4/mmm (123)
Energy above the most stable polymorph in this dataset (meV per atom): 220
Raw formation energy (meV/atom): 892.4

Cell lengths 4.8296, 4.8296, 5.1927 Å; angles 90.00, 90.00, 90.00 degrees
Last column: nearest neighbours and their distance in Å.
Element x y z (fractional)
P 0.0000 0.5000 0.0000  2 Ag 2.41
P 0.5000 0.0000 0.0000  2 Ag 2.41
Zn 0.5000 0.5000 0.5000  4 Cl 3.42, 8 P 3.55
Ag 0.0000 0.0000 0.0000  4 P 2.41, 2 Cl 2.60
Cl 0.0000 0.0000 0.5000  2 Ag 2.60

=====

Density functional theory data (GGA-PBE) for a relaxed Y4ThP5 crystal.

Values from the calculation:
Symmetry: Immm (71)
ΔH_f (0 K) (eV/atom): -1.62

Cell lengths 4.0483, 5.7247, 10.6859 Å; angles 105.54, 100.92, 90.00 degrees
Last column: nearest neighbours and their distance in Å.
Element x y z (fractional)
Y 0.3975 0.3975 0.7951  6 P 2.82-2.89
Y 0.7975 0.7975 0.5949  6 P 2.82-2.87
Y 0.2025 0.2025 0.4051  6 P 2.82-2.87
Y 0.6025 0.6025 0.2049  6 P 2.82-2.89
Th 0.0000 0.0000 0.0000  6 P 2.86-2.89
P 0.6021 0.1021 0.2041  4 Y 2.86-2.87, 2 Th 2.89
P 0.8001 0.3001 0.6002  6 Y 2.82-2.86
P 0.1999 0.6999 0.3998  6 Y 2.82-2.86
P 0.0000 0.5000 0.0000  2 Th 2.86, 4 Y 2.89
P 0.3979 0.8979 0.7959  4 Y 2.86-2.87, 2 Th 2.89

=====

Density functional theory data (GGA-PBE) for a relaxed Ca2ZrTc crystal.

Values from the calculation:
Symmetry: Fm-3m (225)
Energy above the most stable polymorph in this dataset (meV per atom): 744
ΔH_f (0 K) (eV/atom): 0.83

Cell lengths 5.1315, 5.1315, 5.1315 Å; angles 60.00, 60.00, 60.00 degrees
Last column: nearest neighbours and their distance in Å.
Element x y z (fractional)
Ca 0.2500 0.2500 0.2500  4 Zr 3.14, 4 Tc 3.14
Ca 0.7500 0.7500 0.7500  4 Zr 3.14, 4 Tc 3.14
Tc 0.5000 0.5000 0.5000  8 Ca 3.14
Zr 0.0000 0.0000 0.0000  8 Ca 3.14

=====

Density functional theory data (GGA-PBE) for a relaxed BeZnIrO5 crystal.

Values from the calculation:
Symmetry: C2/c (15)
Raw formation energy (meV/atom): -1206.1

Cell lengths 5.2502, 5.2502, 7.0317 Å; angles 104.08, 104.08, 108.68 degrees
Last column: nearest neighbours and their distance in Å.
Element x y z (fractional)
Be 0.6929 0.3071 0.2500  4 O 1.63-1.64
Be 0.3071 0.6929 0.7500  4 O 1.63-1.64
Zn 0.3489 0.6511 0.2500  5 O 2.05-2.21
Zn 0.6511 0.3489 0.7500  5 O 2.05-2.21
Ir 0.0000 0.0000 0.5000  6 O 1.93-1.96
Ir 0.0000 0.0000 0.0000  6 O 1.93-1.96
O 0.0952 0.9048 0.2500  2 Ir 1.94, 1 Zn 2.16
O 0.9048 0.0952 0.7500  2 Ir 1.94, 1 Zn 2.16
O 0.9446 0.3343 0.1491  1 Be 1.63
O 0.0554 0.6657 0.8509  1 Be 1.63
O 0.6657 0.0554 0.3509  1 Be 1.63
O 0.3343 0.9446 0.6491  1 Be 1.63
O 0.7363 0.6073 0.4210  1 Be 1.64
O 0.2637 0.3927 0.5790  1 Be 1.64
O 0.3927 0.2637 0.0790  1 Be 1.64
O 0.6073 0.7363 0.9210  1 Be 1.64

=====

Density functional theory data (GGA-PBE) for a relaxed Cu3BiBr crystal.

Values from the calculation:
Symmetry: Pm-3m (221)
Energy above the most stable polymorph in this dataset (meV per atom): 77
Raw formation energy (meV/atom): 748.3

Cell lengths 4.7693, 4.7693, 4.7693 Å; angles 90.00, 90.00, 90.00 degrees
Last column: nearest neighbours and their distance in Å.
Element x y z (fractional)
Cu 0.0000 0.5000 0.0000  2 Br 2.38
Cu 0.0000 0.0000 0.5000  2 Br 2.38
Cu 0.5000 0.0000 0.0000  2 Br 2.38
Bi 0.5000 0.5000 0.5000  12 Cu 3.37
Br 0.0000 0.0000 0.0000  6 Cu 2.38

=====

Density functional theory data (GGA-PBE) for a relaxed Na2SrAgF8 crystal.

Values from the calculation:
Symmetry: P-1 (2)
Raw formation energy (meV/atom): -2244.2

Cell lengths 4.2244, 5.5062, 7.6526 Å; angles 90.46, 88.30, 95.25 degrees
Last column: nearest neighbours and their distance in Å.
Element x y z (fractional)
Na 0.4789 0.4831 0.7503  7 F 2.34-2.55
Na 0.5211 0.5169 0.2497  7 F 2.34-2.55
Sr 0.0000 0.0000 0.5000  8 F 2.44-2.61
Ag 0.0000 0.0000 0.0000  4 F 1.97-2.00
F 0.0709 0.7476 0.2251  1 Ag 2.27, 1 Na 2.39, 1 Sr 2.54
F 0.6112 0.7738 0.9996  1 Ag 1.97
F 0.8837 0.1987 0.2078  1 Ag 2.00
F 0.9291 0.2524 0.7749  1 Ag 2.27, 1 Na 2.39, 1 Sr 2.54
F 0.3888 0.2262 0.0004  1 Ag 1.97
F 0.1163 0.8013 0.7922  1 Ag 2.00
F 0.4933 0.7472 0.5113  2 Na 2.34-2.37, 2 Sr 2.44-2.61
F 0.5067 0.2528 0.4887  2 Na 2.34-2.37, 2 Sr 2.44-2.61

=====

Density functional theory data (GGA-PBE) for a relaxed TaSOF2 crystal.

Values from the calculation:
Symmetry: P4/mmm (123)
Energy above the most stable polymorph in this dataset (meV per atom): 0
Raw formation energy (meV/atom): -1541.1

Cell lengths 4.1894, 4.1894, 3.9183 Å; angles 90.00, 90.00, 90.00 degrees
Last column: nearest neighbours and their distance in Å.
Element x y z (fractional)
S 0.5000 0.5000 0.5000  8 F 2.87, 4 O 2.96
F 0.0000 0.5000 0.0000  2 Ta 2.09
F 0.5000 0.0000 0.0000  2 Ta 2.09
O 0.0000 0.0000 0.5000  2 Ta 1.96
Ta 0.0000 0.0000 0.0000  2 O 1.96, 4 F 2.09

=====

Density functional theory data (GGA-PBE) for a relaxed PmErHg crystal.

Values from the calculation:
Symmetry: P3m1 (156)
Energy above the most stable polymorph in this dataset (meV per atom): 114
ΔH_f (0 K) (eV/atom): -0.19

Cell lengths 3.8326, 5.1392, 5.1392 Å; angles 120.00, 90.00, 90.00 degrees
Last column: nearest neighbours and their distance in Å.
Element x y z (fractional)
Pm 0.6400 0.6667 0.3333  3 Hg 3.33, 6 Er 3.48-3.59
Hg 0.2472 0.3333 0.6667  3 Er 3.01, 3 Pm 3.33
Er 0.1128 0.0000 0.0000  3 Hg 3.01

=====

Density functional theory data (GGA-PBE) for a relaxed CaPmAsAu crystal.

Values from the calculation:
Symmetry: F-43m (216)
ΔH_f (0 K) (eV/atom): -0.90

Cell lengths 5.1723, 5.1723, 5.1723 Å; angles 60.00, 60.00, 60.00 degrees
Last column: nearest neighbours and their distance in Å.
Element x y z (fractional)
As 0.5000 0.5000 0.5000  4 Ca 3.17, 4 Pm 3.17
Au 0.0000 0.0000 0.0000  4 Pm 3.17, 4 Ca 3.17
Ca 0.2500 0.2500 0.2500  4 Au 3.17, 4 As 3.17
Pm 0.7500 0.7500 0.7500  4 As 3.17, 4 Au 3.17

=====

Density functional theory data (GGA-PBE) for a relaxed FeCoNi2 crystal.

Values from the calculation:
Symmetry: I4/mmm (139)
ΔH_f (0 K) (eV/atom): -0.06

Cell lengths 4.3770, 4.3770, 4.3770 Å; angles 132.71, 132.71, 69.11 degrees
Last column: nearest neighbours and their distance in Å.
Element x y z (fractional)
Ni 0.0000 0.0000 0.0000  4 Ni 2.48, 4 Co 2.52, 4 Fe 2.52
Ni 0.5000 0.5000 0.0000  4 Ni 2.48, 4 Fe 2.52, 4 Co 2.52
Co 0.2500 0.7500 0.5000  4 Fe 2.48, 8 Ni 2.52
Fe 0.7500 0.2500 0.5000  4 Co 2.48, 8 Ni 2.52

=====

Density functional theory data (GGA-PBE) for a relaxed KBPt3 crystal.

Values from the calculation:
Symmetry: P2_1/c (14)
ΔH_f (0 K) (eV/atom): -0.18

Cell lengths 18.5712, 4.9240, 7.6407 Å; angles 90.00, 150.89, 90.00 degrees
Last column: nearest neighbours and their distance in Å.
Element x y z (fractional)
K 0.4619 0.7518 0.4944  2 K 2.79-2.82, 2 Pt 2.84-3.10
K 0.5381 0.2482 0.5056  2 K 2.79-2.82, 2 Pt 2.84-3.10
K 0.0381 0.2518 0.0056  2 K 2.79-2.82, 2 Pt 2.84-3.10
K 0.9619 0.7482 0.9944  2 K 2.79-2.82, 2 Pt 2.84-3.10
B 0.1653 0.4431 0.7372  5 Pt 2.11-2.32
B 0.8347 0.5569 0.2628  5 Pt 2.11-2.32
B 0.3347 0.9431 0.7628  5 Pt 2.11-2.32
B 0.6653 0.0569 0.2372  5 Pt 2.11-2.32
Pt 0.2124 0.0394 0.7300  2 B 2.11-2.19
Pt 0.7876 0.9606 0.2700  2 B 2.11-2.19
Pt 0.2876 0.5394 0.7700  2 B 2.11-2.19
Pt 0.7124 0.4606 0.2300  2 B 2.11-2.19
Pt 0.2248 0.2597 0.1039  1 B 2.12
Pt 0.7752 0.7403 0.8961  1 B 2.12
Pt 0.2752 0.7597 0.3961  1 B 2.12
Pt 0.7248 0.2403 0.6039  1 B 2.12
Pt 0.5637 0.7554 0.1859  2 B 2.15-2.32
Pt 0.4363 0.2446 0.8141  2 B 2.15-2.32
Pt 0.9363 0.2554 0.3141  2 B 2.15-2.32
Pt 0.0637 0.7446 0.6859  2 B 2.15-2.32

=====

Density functional theory data (GGA-PBE) for a relaxed NaSn2Au2 crystal.

Values from the calculation:
Symmetry: P4/mbm (127)
Energy above the most stable polymorph in this dataset (meV per atom): 116
ΔH_f (0 K) (eV/atom): -0.16

Cell lengths 8.3936, 8.3936, 3.3519 Å; angles 90.00, 90.00, 90.00 degrees
Last column: nearest neighbours and their distance in Å.
Element x y z (fractional)
Na 0.0000 0.0000 0.0000  4 Sn 3.24, 2 Na 3.35, 8 Au 3.57
Na 0.5000 0.5000 0.0000  4 Sn 3.24, 2 Na 3.35, 8 Au 3.57
Au 0.1604 0.6604 0.5000  6 Sn 2.90-3.03
Au 0.6604 0.8396 0.5000  6 Sn 2.90-3.03
Au 0.8396 0.3396 0.5000  6 Sn 2.90-3.03
Au 0.3396 0.1604 0.5000  6 Sn 2.90-3.03
Sn 0.3602 0.8602 0.0000  6 Au 2.90-3.03, 2 Na 3.24
Sn 0.8602 0.6398 0.0000  6 Au 2.90-3.03, 2 Na 3.24
Sn 0.6398 0.1398 0.0000  6 Au 2.90-3.03, 2 Na 3.24
Sn 0.1398 0.3602 0.0000  6 Au 2.90-3.03, 2 Na 3.24

=====

Density functional theory data (GGA-PBE) for a relaxed SnPtSe2 crystal.

Values from the calculation:
Symmetry: R-3m (166)
Raw formation energy (meV/atom): -197.4

Cell lengths 8.9347, 8.9347, 8.9347 Å; angles 24.01, 24.01, 24.01 degrees
Last column: nearest neighbours and their distance in Å.
Element x y z (fractional)
Se 0.8853 0.8853 0.8853  3 Pt 2.54
Se 0.1147 0.1147 0.1147  3 Pt 2.54
Sn 0.0000 0.0000 0.0000  2 Se 2.99
Pt 0.5000 0.5000 0.5000  6 Se 2.54

=====

Density functional theory data (GGA-PBE) for a relaxed CdNiCl2 crystal.

Values from the calculation:
Symmetry: R3m (160)
Energy above the most stable polymorph in this dataset (meV per atom): 2
Raw formation energy (meV/atom): -390.7

Cell lengths 8.5257, 8.5257, 8.5257 Å; angles 24.27, 24.27, 24.27 degrees
Last column: nearest neighbours and their distance in Å.
Element x y z (fractional)
Ni 0.5035 0.5035 0.5035  3 Cl 2.31
Cl 0.0256 0.0256 0.0256  3 Cd 2.66
Cl 0.2114 0.2114 0.2114  3 Ni 2.31
Cd 0.7594 0.7594 0.7594  3 Cl 2.66, 3 Ni 2.82

=====

Density functional theory data (GGA-PBE) for a relaxed TaIn2Pb crystal.

Values from the calculation:
Symmetry: I-42d (122)
ΔH_f (0 K) (eV/atom): 0.65

Cell lengths 8.4350, 8.4350, 6.6496 Å; angles 50.64, 50.64, 90.00 degrees
Last column: nearest neighbours and their distance in Å.
Element x y z (fractional)
Pb 0.0000 0.0000 0.0000  2 Ta 2.94
Pb 0.7500 0.2500 0.5000  2 Ta 2.94
In 0.5864 0.1250 0.2500  2 Ta 2.86, 2 In 3.01
In 0.1636 0.6250 0.2500  2 Ta 2.86, 2 In 3.01
In 0.3750 0.4136 0.7500  2 Ta 2.86, 2 In 3.01
In 0.8750 0.8364 0.7500  2 Ta 2.86, 2 In 3.01
Ta 0.5000 0.5000 0.0000  4 In 2.86, 2 Pb 2.94
Ta 0.2500 0.7500 0.5000  4 In 2.86, 2 Pb 2.94

=====

Density functional theory data (GGA-PBE) for a relaxed MnFeIr3 crystal.

Values from the calculation:
Symmetry: Pm-3m (221)
Energy above the most stable polymorph in this dataset (meV per atom): 0
ΔH_f (0 K) (eV/atom): 1.44

Cell lengths 4.4382, 4.4382, 4.4382 Å; angles 90.00, 90.00, 90.00 degrees
Last column: nearest neighbours and their distance in Å.
Element x y z (fractional)
Ir 0.0000 0.5000 0.0000  2 Mn 2.22
Ir 0.0000 0.0000 0.5000  2 Mn 2.22
Ir 0.5000 0.0000 0.0000  2 Mn 2.22
Fe 0.5000 0.5000 0.5000  12 Ir 3.14
Mn 0.0000 0.0000 0.0000  6 Ir 2.22

=====

Density functional theory data (GGA-PBE) for a relaxed Rb3Hg2Cl2F5 crystal.

Values from the calculation:
Symmetry: I4/mmm (139)
Raw formation energy (meV/atom): -1889.9

Cell lengths 4.7559, 4.7559, 12.8059 Å; angles 100.70, 100.70, 90.00 degrees
Last column: nearest neighbours and their distance in Å.
Element x y z (fractional)
Rb 0.1655 0.1655 0.3311  4 F 3.07
Rb 0.8345 0.8345 0.6689  4 F 3.07
Rb 0.0000 0.0000 0.0000  12 F 3.21-3.36
Hg 0.4078 0.4078 0.8156  5 F 2.28-2.38, 1 Cl 2.55
Hg 0.5922 0.5922 0.1844  5 F 2.28-2.38, 1 Cl 2.55
Cl 0.6953 0.6953 0.3905  1 Hg 2.55
Cl 0.3047 0.3047 0.6095  1 Hg 2.55
F 0.5872 0.0872 0.1744  2 Hg 2.38
F 0.4128 0.9128 0.8256  2 Hg 2.38
F 0.0872 0.5872 0.1744  2 Hg 2.38
F 0.9128 0.4128 0.8256  2 Hg 2.38
F 0.5000 0.5000 0.0000  2 Hg 2.28

=====

Density functional theory data (GGA-PBE) for a relaxed V2TeP2 crystal.

Values from the calculation:
Symmetry: I4/mmm (139)
Energy above the most stable polymorph in this dataset (meV per atom): 7
Raw formation energy (meV/atom): -285.2

Cell lengths 3.5013, 3.5013, 6.9416 Å; angles 75.39, 75.39, 90.00 degrees
Last column: nearest neighbours and their distance in Å.
Element x y z (fractional)
P 0.7500 0.2500 0.5000  4 V 2.42, 4 P 2.48
P 0.2500 0.7500 0.5000  4 V 2.42, 4 P 2.48
Te 0.0000 0.0000 0.0000  8 V 2.93
V 0.3787 0.3787 0.2425  4 P 2.42
V 0.6212 0.6212 0.7575  4 P 2.42